A plane-wave DFT calculation with PBE-GGA was carried out for an optimized crystal structure of ReSb2Cl.

As for the space group: I-42d. The uncorrected formation energy is 0.52 eV per atom. The calculation puts the total magnetic moment at 0.000 Bohr magnetons per cell.

Cell: 6.495 6.495 7.728 Å, 65.15 65.15 90.00°
Sites, in units of the cell vectors:
Re: 0.000 0.000 0.000
Re: 0.750 0.250 0.500
Cl: 0.500 0.500 0.000
Cl: 0.250 0.750 0.500
Sb: 0.698 0.125 0.250
Sb: 0.052 0.625 0.250
Sb: 0.375 0.302 0.750
Sb: 0.875 0.948 0.750